Entry from Alexandria via LeMat-Bulk: Ho3PuRh4 after structural relaxation (PBE).

Computed properties:
The value obtained for the density of states at the Fermi level is 14.0 states/eV/f.u. As for the total energy: -7.945 eV/atom. Its space-group type is I4/mmm. The value obtained for the volume is 160 Å³/cell.

Unit cell a=7.6581 b=7.6581 c=7.6581 alpha=143.26 beta=143.26 gamma=52.93
Closest atoms and distances in Å follow each position.
Element x y z (fractional)
Ho: 0.0000 0.0000 0.0000  8 Rh 2.96
Ho: 0.2504 0.2504 0.0000  8 Rh 2.95-2.96
Ho: 0.7496 0.7496 0.0000  8 Rh 2.95-2.96
Pu: 0.5000 0.5000 0.0000  8 Rh 2.96
Rh: 0.1254 0.6254 0.5000  6 Ho 2.95-2.96, 2 Pu 2.96
Rh: 0.3746 0.8746 0.5000  6 Ho 2.95-2.96, 2 Pu 2.96
Rh: 0.6254 0.1254 0.5000  6 Ho 2.95-2.96, 2 Pu 2.96
Rh: 0.8746 0.3746 0.5000  6 Ho 2.95-2.96, 2 Pu 2.96